PrDyY6 | PBE | relaxed

Cell and atoms, written as extended XYZ:
```
8
Lattice="6.583 0.000 0.000 -0.019 6.801 0.000 -1.659 -3.354 5.919" Properties=species:S:1:pos:R:3 pbc="T T T"
Pr 0.000 0.000 0.000
Dy 3.292 0.000 0.000
Y 0.723 2.298 2.866
Y 1.651 3.696 0.015
Y 0.914 -1.117 3.114
Y 3.992 4.564 2.805
Y 3.255 -0.249 5.904
Y 4.182 1.149 3.053
```

Values from the calculation:
**DFT total energy**: -46.55 eV for the cell shown
**Energy relative to the elements**: 0.2020 eV per atom
**D(E_F)**: 1.821 states/eV/atom



Pr10DyY4 | PBE | relaxed

Cell and atoms, written as extended XYZ:
```
15
Lattice="-6.245 6.245 3.952 6.245 -6.245 3.952 6.245 6.245 -3.952" Properties=species:S:1:pos:R:3 pbc="T T T"
Pr 7.484 3.755 -1.982
Pr 3.755 5.006 -1.982
Pr 6.245 0.000 1.976
Pr 2.490 1.239 1.970
Pr -1.239 2.490 1.970
Pr 7.484 3.755 1.982
Pr 3.755 5.006 1.982
Pr 0.000 6.245 1.976
Pr 2.490 1.239 5.934
Pr -1.239 2.490 5.934
Dy 0.000 0.000 0.000
Y 4.991 2.502 0.000
Y 3.742 -1.254 3.952
Y 2.502 7.499 0.000
Y 1.254 3.742 3.952
```

Values from the calculation:
**DFT total energy**: -67.77 eV for the cell shown
**Energy relative to the elements**: 0.6989 eV per atom
**D(E_F)**: 1.562 states/eV/atom



Pr3DyY5 | PBE | relaxed

Cell and atoms, written as extended XYZ:
```
18
Lattice="9.877 0.000 0.000 -4.939 8.554 0.000 0.000 0.000 7.147" Properties=species:S:1:pos:R:3 pbc="T T T"
Pr -1.778 3.080 1.787
Pr -3.160 5.474 5.360
Pr 3.557 0.000 1.787
Pr 1.778 3.080 5.360
Pr 6.320 0.000 5.360
Pr 3.160 5.474 1.787
Dy 0.000 0.000 0.000
Dy 0.000 0.000 3.573
Y -1.513 2.620 5.360
Y -3.426 5.934 1.787
Y 3.025 0.000 5.360
Y 1.513 2.620 1.787
Y 0.000 5.703 0.000
Y 0.000 5.703 3.573
Y 4.939 2.851 0.000
Y 4.939 2.851 3.573
Y 6.852 0.000 1.787
Y 3.426 5.934 5.360
```

Values from the calculation:
**DFT total energy**: -101.65 eV for the cell shown
**Energy relative to the elements**: 0.0487 eV per atom
**D(E_F)**: 1.518 states/eV/atom



PrDy6Y12 | PBE | relaxed

Cell and atoms, written as extended XYZ:
```
19
Lattice="5.959 3.440 5.105 -5.959 3.440 5.105 0.000 -6.881 5.105" Properties=species:S:1:pos:R:3 pbc="T T T"
Pr 0.000 0.000 0.000
Dy -3.559 0.928 5.296
Dy 0.976 -3.547 5.296
Dy -2.583 -2.619 10.020
Dy 2.583 2.619 5.296
Dy -0.976 3.547 10.020
Dy 3.559 -0.928 10.020
Y -1.171 -1.721 2.925
Y -0.905 1.874 2.925
Y -1.380 -1.536 6.357
Y 2.076 -0.154 2.925
Y -2.021 0.427 8.959
Y -0.640 1.964 6.357
Y 0.640 -1.964 8.959
Y 2.021 -0.427 6.357
Y -2.076 0.154 12.391
Y 1.380 1.536 8.959
Y 0.905 -1.874 12.391
Y 1.171 1.721 12.391
```

Values from the calculation:
**DFT total energy**: -107.10 eV for the cell shown
**Energy relative to the elements**: 0.1507 eV per atom
**D(E_F)**: 1.730 states/eV/atom



PrDy5Y4 | PBE | relaxed

Cell and atoms, written as extended XYZ:
```
10
Lattice="-5.102 5.102 3.178 5.102 -5.102 3.178 5.102 5.102 -3.178" Properties=species:S:1:pos:R:3 pbc="T T T"
Pr 0.000 0.000 0.000
Dy 3.624 2.750 -1.444
Dy 2.352 -1.478 1.734
Dy 2.750 6.580 -1.444
Dy 1.478 2.352 1.734
Dy 0.000 0.000 3.464
Y 5.585 -1.578 1.707
Y 4.618 1.578 1.707
Y -1.578 4.618 1.707
Y 1.578 5.585 1.707
```

Values from the calculation:
**DFT total energy**: -50.69 eV for the cell shown
**Energy relative to the elements**: 0.2960 eV per atom
**D(E_F)**: 1.496 states/eV/atom



Pr2Dy6Y | PBE | relaxed

Cell and atoms, written as extended XYZ:
```
18
Lattice="5.360 -8.832 0.000 5.360 8.832 0.000 -0.516 0.000 6.208" Properties=species:S:1:pos:R:3 pbc="T T T"
Pr 2.165 1.802 6.206
Pr 2.423 -1.802 3.102
Pr 7.780 1.802 3.106
Pr 8.038 -1.802 0.002
Dy 0.699 1.345 3.089
Dy 3.333 4.420 4.460
Dy 0.441 -1.345 6.193
Dy 4.145 1.349 3.117
Dy 6.612 4.420 4.852
Dy 4.403 -1.349 0.013
Dy 5.800 1.349 6.195
Dy 3.591 -4.420 1.356
Dy 6.058 -1.349 3.091
Dy 9.762 1.345 0.015
Dy 6.870 -4.420 1.748
Dy 9.504 -1.345 3.119
Y 5.231 4.421 1.552
Y 4.973 -4.421 4.656
```

Values from the calculation:
**DFT total energy**: -85.36 eV for the cell shown
**Energy relative to the elements**: 0.1060 eV per atom
**D(E_F)**: 1.415 states/eV/atom



Pr2Dy7Y2 | PBE | relaxed

Cell and atoms, written as extended XYZ:
```
11
Lattice="5.694 -5.739 0.000 5.694 5.739 0.000 -2.418 0.000 5.575" Properties=species:S:1:pos:R:3 pbc="T T T"
Pr 2.432 0.000 0.516
Pr 6.537 0.000 5.059
Dy -1.209 0.000 2.787
Dy 2.917 3.050 1.825
Dy 6.052 3.050 3.749
Dy 3.010 0.000 3.889
Dy 5.960 0.000 1.685
Dy 2.917 -3.050 1.825
Dy 6.052 -3.050 3.749
Y 5.694 3.236 0.000
Y 5.694 -3.236 0.000
```

Values from the calculation:
**DFT total energy**: -53.02 eV for the cell shown
**Energy relative to the elements**: 0.1530 eV per atom
**D(E_F)**: 1.602 states/eV/atom



Pr6DyY12 | PBE | relaxed

Cell and atoms, written as extended XYZ:
```
19
Lattice="6.723 3.881 4.223 -6.723 3.881 4.223 0.000 -7.763 4.223" Properties=species:S:1:pos:R:3 pbc="T T T"
Pr -2.951 -1.704 5.711
Pr 0.000 -3.407 6.960
Pr -2.951 1.704 6.960
Pr 2.951 -1.704 5.711
Pr 0.000 3.407 5.711
Pr 2.951 1.704 6.960
Dy 0.000 0.000 6.335
Y -1.729 -4.769 4.223
Y -4.994 0.887 4.223
Y 0.000 -2.114 3.012
Y -1.831 1.057 3.012
Y 1.729 -4.769 4.223
Y -3.266 3.881 4.223
Y 1.831 1.057 3.012
Y -1.831 -1.057 9.659
Y 4.994 0.887 4.224
Y 3.266 3.881 4.224
Y 1.831 -1.057 9.659
Y 0.000 2.114 9.659
```

Values from the calculation:
**DFT total energy**: -106.91 eV for the cell shown
**Energy relative to the elements**: 0.2072 eV per atom
**D(E_F)**: 1.762 states/eV/atom



Pr8DyY6 | PBE | relaxed

Cell and atoms, written as extended XYZ:
```
15
Lattice="4.613 2.663 7.047 -4.613 2.663 7.047 0.000 -5.327 7.047" Properties=species:S:1:pos:R:3 pbc="T T T"
Pr 0.000 0.000 1.646
Pr -1.839 0.856 7.624
Pr 0.178 -2.020 7.624
Pr -1.660 -1.165 13.517
Pr 1.660 1.165 7.624
Pr -0.178 2.020 13.517
Pr 1.839 -0.856 13.517
Pr 0.000 0.000 19.495
Dy 0.000 0.000 10.570
Y -2.565 -2.306 9.749
Y -3.280 1.068 11.392
Y 0.715 -3.374 11.392
Y -0.715 3.374 9.749
Y 3.280 -1.068 9.749
Y 2.565 2.306 11.392
```

Values from the calculation:
**DFT total energy**: -79.93 eV for the cell shown
**Energy relative to the elements**: 0.1126 eV per atom
**D(E_F)**: 1.589 states/eV/atom



Pr4Dy4Y5 | PBE | relaxed

Cell and atoms, written as extended XYZ:
```
13
Lattice="-6.508 6.508 2.548 6.508 -6.508 2.548 6.508 6.508 -2.548" Properties=species:S:1:pos:R:3 pbc="T T T"
Pr 4.973 1.022 0.000
Pr 5.487 -1.536 2.548
Pr 1.022 8.044 0.000
Pr 1.536 5.487 2.548
Dy 10.024 2.001 0.000
Dy 2.001 2.992 0.000
Dy 4.507 3.516 2.548
Dy -3.516 4.507 2.548
Y 0.000 0.000 0.000
Y 7.019 4.036 0.000
Y 4.036 5.998 0.000
Y 2.472 0.510 2.548
Y -0.510 2.472 2.548
```

Values from the calculation:
**DFT total energy**: -69.59 eV for the cell shown
**Energy relative to the elements**: 0.0201 eV per atom
**D(E_F)**: 1.482 states/eV/atom



Pr7Dy2Y | PBE | relaxed

Cell and atoms, written as extended XYZ:
```
10
Lattice="4.464 -8.225 0.000 4.464 8.225 0.000 0.000 0.000 5.741" Properties=species:S:1:pos:R:3 pbc="T T T"
Pr 0.000 0.000 0.000
Pr 4.464 6.437 2.870
Pr 2.803 1.737 0.000
Pr 2.803 -1.737 0.000
Pr 6.126 1.737 0.000
Pr 6.126 -1.737 0.000
Pr 4.464 -6.437 2.870
Dy 4.464 4.586 0.000
Dy 4.464 -4.586 0.000
Y 4.464 0.000 2.870
```

Values from the calculation:
**DFT total energy**: -42.79 eV for the cell shown
**Energy relative to the elements**: 0.6332 eV per atom
**D(E_F)**: 1.598 states/eV/atom



Pr5Dy3Y2 | PBE | relaxed

Cell and atoms, written as extended XYZ:
```
20
Lattice="5.391 -7.414 0.000 5.391 7.414 0.000 -5.390 0.000 8.676" Properties=species:S:1:pos:R:3 pbc="T T T"
Pr 1.348 7.132 6.507
Pr -1.358 1.908 6.519
Pr 1.348 4.000 6.507
Pr 1.337 -1.908 2.181
Pr 4.044 0.306 2.169
Pr 1.348 -0.306 6.507
Pr 4.055 1.908 6.495
Pr 4.044 -4.000 2.169
Pr 6.750 -1.908 2.157
Pr 4.044 -7.132 2.169
Dy 1.358 1.860 3.824
Dy 4.044 3.404 2.169
Dy -1.337 -1.860 8.162
Dy 6.729 1.860 0.514
Dy 1.348 -3.404 6.507
Dy 4.034 -1.860 4.852
Y 1.354 1.902 0.515
Y -1.341 -1.902 4.853
Y 6.733 1.902 3.823
Y 4.038 -1.902 8.161
```

Values from the calculation:
**DFT total energy**: -97.86 eV for the cell shown
**Energy relative to the elements**: 0.1704 eV per atom
**D(E_F)**: 1.726 states/eV/atom



> The highest energy relative to the elements belongs to which entry?

Pr10DyY4



Repeat the eighth record exactly.
Pr6DyY12 | PBE | relaxed

Cell and atoms, written as extended XYZ:
```
19
Lattice="6.723 3.881 4.223 -6.723 3.881 4.223 0.000 -7.763 4.223" Properties=species:S:1:pos:R:3 pbc="T T T"
Pr -2.951 -1.704 5.711
Pr 0.000 -3.407 6.960
Pr -2.951 1.704 6.960
Pr 2.951 -1.704 5.711
Pr 0.000 3.407 5.711
Pr 2.951 1.704 6.960
Dy 0.000 0.000 6.335
Y -1.729 -4.769 4.223
Y -4.994 0.887 4.223
Y 0.000 -2.114 3.012
Y -1.831 1.057 3.012
Y 1.729 -4.769 4.223
Y -3.266 3.881 4.223
Y 1.831 1.057 3.012
Y -1.831 -1.057 9.659
Y 4.994 0.887 4.224
Y 3.266 3.881 4.224
Y 1.831 -1.057 9.659
Y 0.000 2.114 9.659
```

Values from the calculation:
**DFT total energy**: -106.91 eV for the cell shown
**Energy relative to the elements**: 0.2072 eV per atom
**D(E_F)**: 1.762 states/eV/atom



> Among the records above, which one has the highest D(E_F)?

PrDyY6



> Look up the DFT total energy of the tenth one.

-69.59 eV for the cell shown